No. 1
A plane-wave DFT calculation with PBE was carried out for a relaxed ScFeBCl2 crystal.

Cell lengths 4.900, 4.820, 4.900 Å; angles 90.00, 90.00, 90.00 degrees
Fractional positions:
Sc 0.000 0.000 0.000
B 0.000 0.500 0.000
Fe 0.500 0.500 0.500
Cl 0.000 0.000 0.500
Cl 0.500 0.000 0.000

The calculation puts the spin magnetization at 3.70 μB per formula unit. The calculation puts the total energy at -4.57 eV per atom. Its space group is P4/mmm, No. 123.

No. 2
A plane-wave DFT calculation with PBE was carried out for a relaxed Tb12Sc5Tl2 crystal.

Cell lengths 9.134, 8.712, 8.284 Å; angles 91.42, 90.00, 121.62 degrees
Fractional positions:
Tb 0.909 0.818 0.117
Tb 0.032 0.692 0.764
Tb 0.660 0.692 0.764
Tb 0.176 0.753 0.350
Tb 0.576 0.753 0.350
Tb 0.444 0.888 0.678
Tb 0.556 0.112 0.322
Tb 0.824 0.247 0.650
Tb 0.424 0.247 0.650
Tb 0.968 0.308 0.236
Tb 0.340 0.308 0.236
Tb 0.091 0.182 0.883
Sc 0.234 0.468 0.583
Sc 0.315 0.631 0.996
Sc 0.000 0.000 0.500
Sc 0.685 0.369 0.004
Sc 0.766 0.532 0.417
Tl 0.682 0.000 0.000
Tl 0.318 0.000 0.000

The calculation puts the spin magnetization at 0.00 μB per formula unit. The calculation puts the total energy at -4.79 eV per atom. As for the energy of formation from the pure elements: 0.05 eV per atom. Its space group is C2/m, No. 12.

No. 3
A plane-wave DFT calculation with PBE was carried out for a relaxed Al4Ni crystal.

Cell lengths 4.509, 4.509, 4.509 Å; angles 90.00, 90.00, 90.00 degrees
Fractional positions:
Ni 0.500 0.500 0.500
Al 0.000 0.000 0.000
Al 0.500 0.000 0.500
Al 0.000 0.500 0.500
Al 0.500 0.500 0.000

The calculation puts the spin magnetization at 0.00 μB per formula unit. The calculation puts the total energy at -4.11 eV per atom. As for the energy of formation from the pure elements: 0.04 eV per atom. Its space group is Pm-3m, No. 221.

No. 4
A plane-wave DFT calculation with PBE was carried out for a relaxed LiP2ClF crystal.

Cell lengths 4.043, 4.043, 6.537 Å; angles 90.00, 90.00, 90.00 degrees
Fractional positions:
P 0.000 0.500 0.000
P 0.500 0.000 0.000
F 0.000 0.000 0.000
Li 0.500 0.500 0.500
Cl 0.000 0.000 0.500

The calculation puts the spin magnetization at 0.00 μB per formula unit. The calculation puts the total energy at -3.29 eV per atom. Its space group is P4/mmm, No. 123.

No. 5
A plane-wave DFT calculation with PBE was carried out for a relaxed Pm2Dy6Sc crystal.

Cell lengths 6.058, 9.964, 9.964 Å; angles 70.55, 84.52, 84.52 degrees
Fractional positions:
Pm 0.436 0.569 0.773
Pm 0.064 0.227 0.431
Pm 0.564 0.431 0.227
Pm 0.936 0.773 0.569
Dy 0.489 0.691 0.406
Dy 0.011 0.594 0.309
Dy 0.511 0.309 0.594
Dy 0.989 0.406 0.691
Dy 0.639 0.067 0.342
Dy 0.861 0.658 0.933
Dy 0.361 0.933 0.658
Dy 0.139 0.342 0.067
Dy 0.327 0.757 0.026
Dy 0.173 0.974 0.243
Dy 0.673 0.243 0.974
Dy 0.827 0.026 0.757
Sc 0.250 0.103 0.897
Sc 0.750 0.897 0.103

The calculation puts the spin magnetization at 0.00 μB per formula unit. The calculation puts the total energy at -4.73 eV per atom. As for the energy of formation from the pure elements: 0.10 eV per atom. Its space group is C2/c, No. 15.

No. 6
A plane-wave DFT calculation with PBE was carried out for a relaxed CaLaPmPr crystal.

Cell lengths 3.725, 3.725, 12.560 Å; angles 81.47, 81.47, 60.00 degrees
Fractional positions:
Ca 0.775 0.775 0.676
La 0.020 0.020 0.939
Pm 0.274 0.274 0.179
Pr 0.528 0.528 0.417

The calculation puts the spin magnetization at 0.00 μB per formula unit. The calculation puts the total energy at -4.09 eV per atom. As for the energy of formation from the pure elements: 0.03 eV per atom. Its space group is R3m, No. 160.

No. 7
A plane-wave DFT calculation with PBE was carried out for a relaxed K2Na2InSn2 crystal.

Cell lengths 5.381, 8.183, 6.971 Å; angles 95.16, 67.30, 70.81 degrees
Fractional positions:
K 0.135 0.207 0.523
K 0.865 0.793 0.477
Na 0.295 0.572 0.838
Na 0.705 0.428 0.162
In 0.000 0.000 0.000
Sn 0.438 0.182 0.942
Sn 0.562 0.818 0.058

The calculation puts the spin magnetization at 0.00 μB per formula unit. The calculation puts the total energy at -2.34 eV per atom. As for the energy of formation from the pure elements: -0.12 eV per atom. Its space group is C2/m, No. 12.

No. 8
A plane-wave DFT calculation with PBE was carried out for a relaxed SmGeH2Ru crystal.

Cell lengths 3.984, 5.661, 5.984 Å; angles 90.00, 90.00, 110.60 degrees
Fractional positions:
Sm 0.707 0.413 0.750
Sm 0.293 0.587 0.250
Ge 0.426 0.851 0.750
Ge 0.574 0.149 0.250
H 0.161 0.322 0.941
H 0.839 0.678 0.059
H 0.161 0.322 0.559
H 0.839 0.678 0.441
Ru 0.000 0.000 0.000
Ru 0.000 0.000 0.500

The calculation puts the spin magnetization at 0.00 μB per formula unit. The calculation puts the total energy at -5.66 eV per atom. Its space group is Cmcm, No. 63.

No. 9
A plane-wave DFT calculation with PBE was carried out for a relaxed BiRhSe2 crystal.

Cell lengths 6.494, 3.810, 8.704 Å; angles 110.21, 110.64, 71.78 degrees
Fractional positions:
Rh 0.315 0.817 0.393
Rh 0.944 0.200 0.023
Bi 0.330 0.169 0.730
Bi 0.640 0.148 0.402
Se 0.663 0.836 0.006
Se 0.217 0.598 0.074
Se 0.032 0.417 0.337
Se 0.955 0.929 0.715

The calculation puts the spin magnetization at 0.00 μB per formula unit. The calculation puts the total energy at -4.83 eV per atom. Its space group is P1, No. 1.

No. 10
A plane-wave DFT calculation with PBE was carried out for a relaxed PrDy10Y4 crystal.

Cell lengths 7.710, 9.457, 9.457 Å; angles 80.43, 65.94, 65.94 degrees
Fractional positions:
Pr 0.000 0.000 0.000
Dy 0.250 0.500 0.500
Dy 0.649 0.301 0.899
Dy 0.050 0.101 0.301
Dy 0.452 0.899 0.699
Dy 0.849 0.699 0.101
Dy 0.351 0.699 0.101
Dy 0.750 0.500 0.500
Dy 0.151 0.301 0.899
Dy 0.548 0.101 0.301
Dy 0.950 0.899 0.699
Y 0.400 0.800 0.400
Y 0.800 0.600 0.800
Y 0.200 0.400 0.200
Y 0.600 0.200 0.600

The calculation puts the spin magnetization at 0.00 μB per formula unit. The calculation puts the total energy at -4.35 eV per atom. As for the energy of formation from the pure elements: 0.76 eV per atom. Its space group is I4/m, No. 87.

No. 11
A plane-wave DFT calculation with PBE was carried out for a relaxed GdHfCuNi crystal.

Cell lengths 4.709, 4.709, 4.709 Å; angles 60.00, 60.00, 60.00 degrees
Fractional positions:
Ni 0.750 0.750 0.750
Gd 0.000 0.000 0.000
Hf 0.500 0.500 0.500
Cu 0.250 0.250 0.250

The calculation puts the spin magnetization at 7.24 μB per formula unit. The calculation puts the total energy at -8.65 eV per atom. As for the energy of formation from the pure elements: -0.17 eV per atom. Its space group is F-43m, No. 216.

No. 12
A plane-wave DFT calculation with PBE was carried out for a relaxed Th2ZnS crystal.

Cell lengths 3.754, 3.754, 8.663 Å; angles 77.47, 77.47, 59.99 degrees
Fractional positions:
Th 0.087 0.087 0.738
Th 0.246 0.246 0.262
Zn 0.667 0.667 0.001
S 0.500 0.500 0.500

The calculation puts the spin magnetization at 0.00 μB per formula unit. The calculation puts the total energy at -5.87 eV per atom. Its space group is R3m, No. 160.